No. 1
A geometry-optimized KLi2La structure, computed with PBE.

Computed properties:
- V: 279.8 Å³ per cell
- Mass density: 2277 kg/m3
- ΔE_f: 0.4114 eV per atom

Cell lengths 4.877, 4.877, 11.767 Å; angles 90.00, 90.00, 90.00 degrees
Space group I-4m2 (No. 119)
Symmetry-distinct sites (fractional):
K  0.000  0.000  0.000 x2
Li  0.000  0.000  0.500 x2
Li  0.000  0.500  0.250 x2
La  0.000  0.500  0.750 x2



No. 2
A geometry-optimized SrLaMgTaO6 structure, computed with PBE.

Computed properties:
- V: 260.9 Å³ per cell
- Mass density: 6717 kg/m3
- Uncorrected formation energy: -3.12 eV per atom

Cell lengths 5.665, 5.735, 9.830 Å; angles 90.00, 125.20, 90.00 degrees
Space group Pc (No. 7)
Symmetry-distinct sites (fractional):
Sr  0.000  0.221  0.000 x2
La  0.487  0.292  0.502 x2
Mg  0.744  0.248  0.250 x2
Ta  0.244  0.247  0.750 x2
O  0.005  0.462  0.784 x2
O  0.090  0.038  0.294 x2
O  0.418  0.479  0.209 x2
O  0.485  0.047  0.706 x2
O  0.553  0.274  0.993 x2
O  0.912  0.232  0.506 x2



No. 3
A geometry-optimized CrReMo4 structure, computed with PBE.

Computed properties:
- V: 388.2 Å³ per cell
- Mass density: 10642 kg/m3
- ΔE_f: 0.4344 eV per atom

Cell lengths 7.295, 7.295, 7.295 Å; angles 90.00, 90.00, 90.00 degrees
Space group F-43m (No. 216)
Symmetry-distinct sites (fractional):
Cr  0.000  0.000  0.000 x4
Re  0.250  0.250  0.750 x4
Mo  0.125  0.125  0.375 x16



No. 4
A geometry-optimized La2ZnCdRu structure, computed with PBE.

Computed properties:
- V: 144.7 Å³ per cell
- Mass density: 6389 kg/m3
- ΔE_f: -0.2243 eV per atom

Cell lengths 5.376, 5.376, 5.007 Å; angles 90.00, 90.00, 90.00 degrees
Space group P4/mmm (No. 123)
Symmetry-distinct sites (fractional):
La  0.000  0.500  0.000 x2
Zn  0.000  0.000  0.500 x1
Cd  0.500  0.500  0.500 x1
Ru  0.000  0.000  0.000 x1



No. 5
A geometry-optimized ErAl10Fe3 structure, computed with PBE.

Computed properties:
- V: 1906.6 Å³ per cell
- Mass density: 4213 kg/m3
- ΔE_f: -0.1087 eV per atom

Cell lengths 12.400, 12.400, 12.400 Å; angles 90.00, 90.00, 90.00 degrees
Space group Fm-3m (No. 225)
Symmetry-distinct sites (fractional):
Er  0.250  0.250  0.250 x8
Al  0.000  0.163  0.163 x48
Al  0.108  0.108  0.392 x32
Fe  0.000  0.000  0.263 x24



No. 6
A geometry-optimized MgRe2O8 structure, computed with PBE.

Computed properties:
- V: 505.4 Å³ per cell
- Mass density: 5172 kg/m3
- Uncorrected formation energy: -1.85 eV per atom

Cell lengths 10.3344, 10.3344, 5.4644 Å; angles 90.00, 90.00, 120.00 degrees
Space group P31m (No. 157)
Symmetry-distinct sites (fractional):
Mg  0.0000  0.0000  0.0000 x1
Mg  0.3333  0.6667  0.5066 x2
Re  0.0000  0.3422  0.1665 x3
Re  0.0000  0.6770  0.6387 x3
O  0.0000  0.1737  0.2159 x3
O  0.0000  0.3646  0.8537 x3
O  0.0000  0.6921  0.3248 x3
O  0.0000  0.8305  0.7798 x3
O  0.1610  0.4947  0.2934 x6
O  0.1628  0.6715  0.7173 x6



No. 7
A geometry-optimized Bi3Te3Ir structure, computed with PBE.

Computed properties:
- V: 872.6 Å³ per cell
- Mass density: 9149 kg/m3
- Uncorrected formation energy: -0.06 eV per atom

Cell lengths 6.652, 9.884, 13.355 Å; angles 89.90, 89.92, 83.55 degrees
Space group P-1 (No. 2)
Symmetry-distinct sites (fractional):
Bi  0.023  0.139  0.130 x2
Bi  0.091  0.768  0.371 x2
Bi  0.180  0.529  0.593 x2
Bi  0.319  0.471  0.092 x2
Bi  0.409  0.232  0.870 x2
Bi  0.477  0.861  0.630 x2
Te  0.011  0.097  0.363 x2
Te  0.058  0.824  0.106 x2
Te  0.172  0.536  0.852 x2
Te  0.329  0.465  0.351 x2
Te  0.442  0.176  0.605 x2
Te  0.490  0.903  0.863 x2
Ir  0.154  0.291  0.474 x2
Ir  0.346  0.709  0.975 x2



No. 8
A geometry-optimized Er6BiTe structure, computed with PBE.

Computed properties:
- V: 692.1 Å³ per cell
- Mass density: 9646 kg/m3
- Uncorrected formation energy: -0.34 eV per atom

Cell lengths 8.6768, 8.6768, 10.6160 Å; angles 90.00, 90.00, 120.00 degrees
Space group R-3 (No. 148, hexagonal axes)
Symmetry-distinct sites (fractional):
Er  0.0008  0.7505  0.2502 x18
Bi  0.0000  0.0000  0.5000 x3
Te  0.0000  0.0000  0.0000 x3



No. 9
A geometry-optimized CrRh structure, computed with PBE.

Computed properties:
- V: 152.6 Å³ per cell
- Mass density: 6741 kg/m3
- ΔE_f: 1.0264 eV per atom

Cell lengths 5.344, 5.344, 5.344 Å; angles 90.00, 90.00, 90.00 degrees
Space group F-43m (No. 216)
Symmetry-distinct sites (fractional):
Cr  0.000  0.000  0.000 x4
Rh  0.250  0.250  0.750 x4



No. 10
A geometry-optimized NaCuO2 structure, computed with PBE.

Computed properties:
- V: 246.3 Å³ per cell
- Mass density: 3197 kg/m3
- Uncorrected formation energy: -0.93 eV per atom

Cell lengths 5.438, 5.847, 7.746 Å; angles 90.00, 90.00, 90.00 degrees
Space group Imma (No. 74)
Symmetry-distinct sites (fractional):
Na  0.000  0.250  0.136 x4
Cu  0.000  0.250  0.737 x4
O  0.250  0.039  0.750 x8



No. 11
A geometry-optimized Nb2SbIrI structure, computed with PBE.

Computed properties:
- V: 135.3 Å³ per cell
- Mass density: 7693 kg/m3
- Uncorrected formation energy: 2.22 eV per atom

Cell lengths 4.954, 4.954, 5.513 Å; angles 90.00, 90.00, 90.00 degrees
Space group P4/mmm (No. 123)
Symmetry-distinct sites (fractional):
Nb  0.000  0.500  0.000 x2
Sb  0.000  0.000  0.500 x1
Ir  0.500  0.500  0.500 x1
I  0.000  0.000  0.000 x1



No. 12
A geometry-optimized Mg2Zn15Pt2 structure, computed with PBE.

Computed properties:
- V: 902.7 Å³ per cell
- Mass density: 7836 kg/m3
- ΔE_f: -0.1365 eV per atom

Cell lengths 8.9133, 8.9133, 13.1200 Å; angles 90.00, 90.00, 120.00 degrees
Space group R-3m (No. 166, hexagonal axes)
Symmetry-distinct sites (fractional):
Mg  0.0000  0.0000  0.1759 x6
Zn  0.0000  0.2915  0.5000 x18
Zn  0.0000  0.5000  0.0000 x9
Zn  0.0069  0.5035  0.6466 x18
Pt  0.0000  0.0000  0.3876 x6



No. 13
A geometry-optimized AgTePb2S4 structure, computed with PBE.

Computed properties:
- V: 797.1 Å³ per cell
- Mass density: 6484 kg/m3
- Uncorrected formation energy: -0.18 eV per atom

Cell lengths 11.235, 11.262, 8.291 Å; angles 90.00, 130.55, 90.00 degrees
Space group C2/c (No. 15)
Symmetry-distinct sites (fractional):
Ag  0.000  0.000  0.000 x4
Te  0.250  0.250  0.000 x4
Pb  0.000  0.500  0.000 x4
Pb  0.250  0.250  0.500 x4
S  0.029  0.239  0.031 x8
S  0.249  0.011  0.026 x8



No. 14
A geometry-optimized Nd4Rh structure, computed with PBE.

Computed properties:
- V: 471.5 Å³ per cell
- Mass density: 7183 kg/m3
- ΔE_f: -0.3128 eV per atom

Cell lengths 6.481, 10.046, 7.242 Å; angles 90.00, 90.21, 90.00 degrees
Space group Pm (No. 6)
Symmetry-distinct sites (fractional):
Nd  0.000  0.000  0.000 x1
Nd  0.013  0.316  0.711 x2
Nd  0.183  0.317  0.211 x2
Nd  0.201  0.000  0.498 x1
Nd  0.502  0.500  0.556 x1
Nd  0.520  0.180  0.854 x2
Nd  0.682  0.186  0.355 x2
Nd  0.691  0.500  0.068 x1
Rh  0.422  0.000  0.153 x1
Rh  0.784  0.000  0.653 x1
Rh  0.924  0.500  0.412 x1



No. 15
A geometry-optimized PaPPd3 structure, computed with PBE.

Computed properties:
- V: 178.9 Å³ per cell
- Mass density: 10790 kg/m3
- ΔE_f: -0.6763 eV per atom

Cell lengths 5.437, 5.273, 7.624 Å; angles 90.00, 125.06, 90.00 degrees
Space group Pc (No. 7)
Symmetry-distinct sites (fractional):
Pa  0.000  0.155  0.000 x2
P  0.849  0.379  0.605 x2
Pd  0.373  0.360  0.814 x2
Pd  0.410  0.129  0.464 x2
Pd  0.707  0.288  0.250 x2



No. 16
A geometry-optimized In2CuAs structure, computed with PBE.

Computed properties:
- V: 346.3 Å³ per cell
- Mass density: 7061 kg/m3
- ΔE_f: 0.2698 eV per atom

Cell lengths 7.022, 7.022, 7.022 Å; angles 90.00, 90.00, 90.00 degrees
Space group F-43m (No. 216)
Symmetry-distinct sites (fractional):
In  0.000  0.000  0.000 x4
In  0.250  0.250  0.250 x4
Cu  0.250  0.250  0.750 x4
As  0.000  0.000  0.500 x4



No. 17
A geometry-optimized Rb5I2O structure, computed with PBE.

Computed properties:
- V: 1792.0 Å³ per cell
- Mass density: 2584 kg/m3
- Uncorrected formation energy: -1.05 eV per atom

Cell lengths 6.794, 16.166, 16.315 Å; angles 90.00, 90.00, 90.00 degrees
Space group Cmcm (No. 63)
Symmetry-distinct sites (fractional):
Rb  0.000  0.060  0.135 x8
Rb  0.000  0.297  0.129 x8
Rb  0.000  0.308  0.750 x4
I  0.000  0.162  0.567 x8
O  0.000  0.181  0.250 x4



No. 18
A geometry-optimized LiSiRh2 structure, computed with PBE.

Computed properties:
- V: 237.4 Å³ per cell
- Mass density: 6739 kg/m3
- Uncorrected formation energy: -0.30 eV per atom

Cell lengths 6.615, 6.615, 5.424 Å; angles 90.00, 90.00, 90.00 degrees
Space group I-42d (No. 122)
Symmetry-distinct sites (fractional):
Li  0.000  0.000  0.000 x4
Si  0.000  0.000  0.500 x4
Rh  0.208  0.250  0.625 x8



No. 19
A geometry-optimized CaAlGaAu2 structure, computed with PBE.

Computed properties:
- V: 209.7 Å³ per cell
- Mass density: 8403 kg/m3
- ΔE_f: -0.5853 eV per atom

Cell lengths 4.231, 4.231, 11.714 Å; angles 90.00, 90.00, 90.00 degrees
Space group I-4m2 (No. 119)
Symmetry-distinct sites (fractional):
Ca  0.000  0.000  0.000 x2
Al  0.000  0.500  0.250 x2
Ga  0.000  0.500  0.750 x2
Au  0.000  0.000  0.381 x4



No. 20
A geometry-optimized Er4GaSb2 structure, computed with PBE.

Computed properties:
- V: 827.4 Å³ per cell
- Mass density: 7886 kg/m3
- Uncorrected formation energy: -0.63 eV per atom

Cell lengths 9.393, 9.393, 9.377 Å; angles 90.00, 90.00, 90.00 degrees
Space group I4_1/amd (No. 141, origin choice 2)
Symmetry-distinct sites (fractional):
Er  0.000  0.054  0.185 x16
Ga  0.000  0.250  0.875 x4
Sb  0.000  0.000  0.500 x8